A plane-wave DFT calculation with PBE+U was carried out for MnPO4 after structural relaxation.

Calculated values
Its volume is 14.9 Å³ per atom. Its final energy is -7.35 eV per atom. Its crystal system is monoclinic.

```
data_MnPO4
_space_group_name_H-M_alt 'P 1 21/c 1'
_space_group_IT_number 14
_space_group_name_Hall '-P 2ybc'
_cell_length_a 5.060
_cell_length_b 9.933
_cell_length_c 8.369
_cell_angle_alpha 90.00
_cell_angle_beta 122.00
_cell_angle_gamma 90.00
loop_
_atom_site_label
_atom_site_type_symbol
_atom_site_fract_x
_atom_site_fract_y
_atom_site_fract_z
Mn1 Mn 0.147 0.119 0.440
P1 P 0.147 0.601 0.764
O1 O 0.061 0.048 0.198
O2 O 0.113 0.196 0.871
O3 O 0.168 0.584 0.963
O4 O 0.467 0.647 0.807
```